PBE-GGA NdSm2BiO6, optimized geometry; calculated volume = 16.35 A^3/atom; DFT total energy = -7.481 eV/atom
1.0
5.361 -3.073 0.000
5.361 3.073 0.000
-3.254 0.000 4.962
Nd Sm Bi O
1 2 1 6
direct
0.000 0.000 0.000
0.251 0.251 0.699
0.749 0.749 0.301
0.500 0.500 0.500
0.152 0.653 0.653
0.247 0.247 0.073
0.347 0.848 0.347
0.653 0.152 0.653
0.753 0.753 0.927
0.848 0.347 0.347